Record 1
# CrCdBr2

Crystalline CrCdBr2 at its relaxed geometry (PBE, the Alexandria database).

## Properties
The calculation puts the relative energy among the computed polymorphs at 20 meV per atom. Its volume is 31.81 Å³ per atom. The calculation puts the total magnetic moment at 4.0 μB/f.u. The calculation puts the density of states at the Fermi level at 4.5 states/eV per cell. The calculation puts the uncorrected formation energy at -311 meV/atom.

Cell and atoms, written as POSCAR:
```
CrCdBr2
1.0
2.172 0.000 10.381
-1.086 1.881 10.381
-1.086 -1.881 10.381
Cr Cd Br
1 1 2
Direct
0.500 0.500 0.500
0.000 0.000 0.000
0.882 0.882 0.882
0.118 0.118 0.118
```

Record 2
# ScNbCu2Ir

Crystalline ScNbCu2Ir at its relaxed geometry (PBE, the Alexandria database).

## Properties
Its volume is 20.94 Å³ per atom. The calculation puts the total magnetic moment at 0.0 μB/f.u. The calculation puts the density of states at the Fermi level at 5.4 states/eV per cell. The calculation puts the formation energy at 0.824 eV per atom.

Cell and atoms, written as POSCAR:
```
ScNbCu2Ir
1.0
-0.426 -2.964 3.614
4.574 -1.206 -0.450
1.198 3.439 2.962
Ir Cu Sc Nb
1 2 1 1
Direct
0.000 0.500 0.000
0.000 0.000 0.500
0.500 0.000 0.000
0.500 0.500 0.500
0.000 0.000 0.000
```

Record 3
# BaWS2

Crystalline BaWS2 at its relaxed geometry (PBE, the Alexandria database).

## Properties
The calculation puts the relative energy among the computed polymorphs at 0 meV per atom. Its volume is 24.58 Å³ per atom. The calculation puts the total magnetic moment at 0.0 μB/f.u. The calculation puts the density of states at the Fermi level at 2.2 states/eV per cell. The calculation puts the uncorrected formation energy at -265 meV/atom.

Cell and atoms, written as POSCAR:
```
BaWS2
1.0
2.041 0.000 9.082
-1.021 1.768 9.082
-1.021 -1.768 9.082
W S Ba
1 2 1
Direct
0.500 0.500 0.500
0.115 0.115 0.115
0.885 0.885 0.885
0.000 0.000 0.000
```